No. 1
An optimized crystal structure of Li2CaTaNi, computed with PBE.

It has space group P4/mmm (No. 123), with a = 4.741 Å, b = 4.741 Å, c = 4.653 Å, α = 90.00°, β = 90.00° and γ = 90.00°. The inequivalent atoms are Li at (0.000, 0.500, 0.000), Ca at (0.000, 0.000, 0.500), Ta at (0.500, 0.500, 0.500) and Ni at (0.500, 0.500, 0.000).

As for the formation energy: 471 meV/atom. The crystal system is tetragonal. The calculation puts the uncorrected energy at -21.11 eV/cell.



No. 2
An optimized crystal structure of RbTiFe2, computed with PBE.

It has space group Fm-3m (No. 225), with a = 6.792 Å, b = 6.792 Å, c = 6.792 Å, α = 90.00°, β = 90.00° and γ = 90.00°. The inequivalent atoms are Rb at (0.000, 0.000, 0.000), Ti at (0.000, 0.000, 0.500) and Fe at (0.250, 0.250, 0.250).

As for the formation energy: 1353 meV/atom. The crystal system is cubic. The calculation puts the uncorrected energy at -81.50 eV/cell. For the distance to the lowest polymorph of the same formula, the calculation gives 0.000 eV per atom.



No. 3
An optimized crystal structure of Ti5NbSi3, computed with PBE.

It has space group C2/m (No. 12), with a = 10.313 Å, b = 7.433 Å, c = 8.660 Å, α = 90.00°, β = 101.23° and γ = 90.00°. The inequivalent atoms are Ti at (0.000, 0.183, 0.000), Ti at (0.136, 0.000, 0.476), Ti at (0.161, 0.298, 0.689), Ti at (0.238, 0.500, 0.020), Nb at (0.140, 0.500, 0.294), Si at (0.000, 0.500, 0.000), Si at (0.000, 0.500, 0.500), Si at (0.072, 0.000, 0.756) and Si at (0.154, 0.000, 0.201).

The crystal system is monoclinic. The calculation puts the uncorrected energy at -265.25 eV/cell.



No. 4
An optimized crystal structure of ScCu2Re, computed with PBE.

It has space group I-42d (No. 122), with a = 3.773 Å, b = 3.773 Å, c = 18.497 Å, α = 90.00°, β = 90.00° and γ = 90.00°. The inequivalent atoms are Sc at (0.000, 0.000, 0.000), Cu at (0.217, 0.250, 0.625) and Re at (0.000, 0.000, 0.500).

As for the formation energy: 609 meV/atom. The crystal system is tetragonal. The calculation puts the uncorrected energy at -98.15 eV/cell. For the distance to the lowest polymorph of the same formula, the calculation gives 0.516 eV per atom.